1.
Density functional theory data (PBE) for a relaxed structure of CrIr2Pt.

```
CrIr2Pt
1.0
-2.578 0.655 -0.515
0.330 -0.734 -2.587
-2.179 -7.186 1.762
Pt Ir Cr
1 2 1
direct
0.000 0.000 0.514
0.500 0.500 0.243
0.000 0.000 0.987
0.500 0.500 0.756
```

Properties
uncorrected energy: -33.7 eV/cell
space-group type: P4mm
ΔE_f: -0.0824 eV per atom

***

2.
Density functional theory data (PBE) for a relaxed structure of Li2Sb3Pd2.

```
Li2Sb3Pd2
1.0
7.136 0.000 2.372
0.000 8.087 0.000
5.389 0.000 6.738
Sb Li Pd
6 4 4
direct
0.586 0.173 0.746
0.914 0.673 0.254
0.414 0.827 0.254
0.086 0.327 0.746
0.000 0.000 0.000
0.500 0.500 0.000
0.606 0.798 0.753
0.106 0.702 0.753
0.394 0.202 0.247
0.894 0.298 0.247
0.897 0.005 0.746
0.397 0.495 0.746
0.603 0.505 0.254
0.103 0.995 0.254
```

Properties
uncorrected energy: -59.0 eV/cell
space-group type: P2_1/c
E_form (uncorrected): -40.3 kJ per mole of atoms

***

3.
Density functional theory data (PBE) for a relaxed structure of ScTiN.

```
ScTiN
1.0
-3.233 -0.630 3.889
2.371 -0.842 1.835
-0.825 2.995 -0.201
N Ti Sc
1 1 1
direct
0.987 0.000 0.000
0.774 0.667 0.333
0.239 0.333 0.667
```

Properties
uncorrected energy: -26.2 eV/cell
offset from the most stable computed form: 0.05 eV per formula unit
space-group type: P3m1
E_form (uncorrected): -116.5 kJ per mole of atoms

***

4.
Density functional theory data (PBE) for a relaxed structure of Ca2NdPaSb4.

```
Ca2NdPaSb4
1.0
4.516 0.000 0.000
0.000 7.780 0.140
0.000 -2.708 7.263
Sb Nd Pa Ca
4 1 1 2
direct
0.500 0.235 0.236
0.000 0.759 0.241
0.500 0.765 0.764
0.000 0.241 0.759
0.500 0.500 0.000
0.000 0.000 0.000
0.000 0.500 0.500
0.500 0.000 0.500
```

Properties
uncorrected energy: -42.0 eV/cell
space-group type: P2/m
E_form (uncorrected): -87.4 kJ per mole of atoms

***

Number 1: V 14.151 Å³/atom. Number 2: V 20.392 Å³/atom. Number 3: V 14.262 Å³/atom. Number 4: V 32.116 Å³/atom.